Computed, not measured: a geometry-optimized GaSn2As2 structure at the GGA-PBE level of DFT.

Values from the calculation:
Excess energy over the best structure of this formula in the dataset, meV per atom: 67.2
Calculated total energy, eV per atom: -3.903
ΔE_f, eV/atom: 0.16

Lattice parameters (Å, degrees): 3.7850 3.7850 16.8669 90.00 90.00 90.00
Space group I4/mmm (No. 139)
Symmetry-distinct sites (fractional):
Ga (0.0000, 0.0000, 0.0000)
Sn (0.0000, 0.0000, 0.4008)
As (0.0000, 0.5000, 0.2500)